1.
A plane-wave DFT calculation with GGA-PBE was carried out for a relaxed Tc3HgO crystal.

Properties
ΔE to the lowest computed polymorph = 0.0000 eV per atom
Magnetic moment = 1.6 μB per formula unit

abc: 4.1523 4.1523 4.1523
angles: 90.00 90.00 90.00
Positions (direct):
Hg 0.5000 0.5000 0.5000
O 0.0000 0.0000 0.0000
Tc 0.0000 0.5000 0.0000
Tc 0.0000 0.0000 0.5000
Tc 0.5000 0.0000 0.0000

---

2.
A plane-wave DFT calculation with GGA-PBE was carried out for a relaxed Tc3HgO12 crystal.

Properties
Magnetic moment = 1.2 μB per formula unit
Total energy = -107.81 eV/f.u.

abc: 9.0488 9.0488 11.3544
angles: 66.52 66.52 60.00
Positions (direct):
O 0.7389 0.3978 0.1050
O 0.7092 0.1046 0.0925
O 0.6046 0.2092 0.5925
O 0.2583 0.8978 0.6050
O 0.3978 0.7583 0.1050
O 0.4452 0.0766 0.9609
Tc 0.3077 0.9744 0.0053
Tc 0.7126 0.3077 0.0053
O 0.7887 0.3906 0.3607
O 0.5766 0.9452 0.4609
Hg 0.5870 0.5870 0.2390
O 0.0766 0.5173 0.9609
O 0.5937 0.6046 0.5925
O 0.9452 0.0173 0.4609
O 0.2887 0.9600 0.8607
O 0.0937 0.7092 0.0925
O 0.5173 0.4452 0.9609
O 0.9600 0.8906 0.8607
O 0.1046 0.0937 0.0925
O 0.0173 0.5766 0.4609
O 0.2092 0.5937 0.5925
O 0.7583 0.7389 0.1050
Hg 0.0870 0.0870 0.7390
O 0.2389 0.2583 0.6050
O 0.3906 0.4600 0.3607
O 0.8978 0.2389 0.6050
O 0.8906 0.2887 0.8607
O 0.4600 0.7887 0.3607
Tc 0.4744 0.8077 0.5053
Tc 0.2126 0.4744 0.5053
Tc 0.8077 0.2126 0.5053
Tc 0.9744 0.7126 0.0053

---

3.
A plane-wave DFT calculation with GGA-PBE was carried out for a relaxed TcHgO3 crystal.

Properties
Magnetic moment = 0.0 μB per formula unit
Total energy = -29.39 eV/f.u.

abc: 3.9213 3.9213 3.9213
angles: 90.00 90.00 90.00
Positions (direct):
Tc 0.0000 0.0000 0.0000
O 0.0000 0.5000 0.0000
O 0.5000 0.0000 0.0000
Hg 0.5000 0.5000 0.5000
O 0.0000 0.0000 0.5000

---

- The highest magnetic moment belongs to which entry?
  Tc3HgO

---

- Which of these has the lowest magnetic moment?
  TcHgO3

---

- The highest magnetic moment belongs to which entry?
  Tc3HgO